No. 1
A relaxed TeS3 crystal. Source: the Alexandria database, functional PBE.

## Properties
VASP energy: -3.7515 eV per atom
excess energy over the best structure of this formula in the dataset: 0.0 kJ/mol of atoms

Geometry as CIF:
```
data_TeS3
_chemical_formula_sum 'Te2 S6'
_symmetry_space_group_name_H-M 'P -1'
_symmetry_Int_Tables_number 2
_symmetry_space_group_name_Hall '-P 1'
_cell_length_a 4.916
_cell_length_b 7.089
_cell_length_c 8.009
_cell_angle_alpha 100.89
_cell_angle_beta 92.95
_cell_angle_gamma 93.22
loop_
_atom_site_label
_atom_site_fract_x
_atom_site_fract_y
_atom_site_fract_z
_atom_site_occupancy
Te1 0.209 0.393 0.307 1
S1 0.165 0.869 0.846 1
S2 0.187 0.842 0.083 1
S3 0.215 0.327 0.574 1
```

---

No. 2
A relaxed TeS4 crystal. Source: the Alexandria database, functional PBE.

## Properties
VASP energy: -2.8353 eV per atom
excess energy over the best structure of this formula in the dataset: 85.5 kJ/mol of atoms

Geometry as CIF:
```
data_TeS4
_chemical_formula_sum 'Te1 S4'
_symmetry_space_group_name_H-M 'P m -3 m'
_symmetry_Int_Tables_number 221
_symmetry_space_group_name_Hall '-P 4 2 3'
_cell_length_a 5.111
_cell_length_b 5.111
_cell_length_c 5.111
_cell_angle_alpha 90.00
_cell_angle_beta 90.00
_cell_angle_gamma 90.00
loop_
_atom_site_label
_atom_site_fract_x
_atom_site_fract_y
_atom_site_fract_z
_atom_site_occupancy
Te1 0.000 0.000 0.000 1
S1 0.000 0.000 0.500 1
S2 0.500 0.500 0.500 1
```

---

No. 3
A relaxed TeS crystal. Source: the Alexandria database, functional PBE.

## Properties
VASP energy: -3.2307 eV per atom

Geometry as CIF:
```
data_TeS
_chemical_formula_sum 'Te8 S8'
_symmetry_space_group_name_H-M 'I -4 3 m'
_symmetry_Int_Tables_number 217
_symmetry_space_group_name_Hall 'I -4 2 3'
_cell_length_a 8.876
_cell_length_b 8.876
_cell_length_c 8.876
_cell_angle_alpha 90.00
_cell_angle_beta 90.00
_cell_angle_gamma 90.00
loop_
_atom_site_label
_atom_site_fract_x
_atom_site_fract_y
_atom_site_fract_z
_atom_site_occupancy
Te1 0.184 0.184 0.816 1
S1 0.164 0.164 0.164 1
```

---

Formation energy (no corrections) list, top to bottom, in eV/f.u.: 0.52, 5.48, 0.81